Record 1
## SrMn2Co2 (GGA-PBE)

Data for an optimized crystal structure of SrMn2Co2.

Values from the calculation:
calculated volume = 16.27 Å³/atom
energy above the most stable polymorph in this dataset = 0 meV/atom
final energy = -6.399 eV per atom
total magnetization = 1.9237 μB per atom
calculated formation energy = 0.45 eV/atom

Lattice parameters (Å, degrees): 7.4827 7.4827 2.9054 90.00 90.00 90.00
Space group P4/mbm (No. 127)
Symmetry-distinct sites (fractional):
Sr: 0.0000 0.0000 0.0000 [2 per cell]
Mn: 0.1278 0.3722 0.0000 [4 per cell]
Co: 0.1466 0.6466 0.5000 [4 per cell]

=====

Record 2
## SrMnCo (GGA-PBE)

Data for an optimized crystal structure of SrMnCo.

Values from the calculation:
calculated volume = 20.31 Å³/atom
energy above the most stable polymorph in this dataset = 218 meV/atom
final energy = -5.513 eV per atom
total magnetization = 1.4852 μB per atom
calculated formation energy = 0.47 eV/atom

Lattice parameters (Å, degrees): 3.3282 3.3282 11.0030 90.00 90.00 90.00
Space group I4mm (No. 107)
Symmetry-distinct sites (fractional):
Sr: 0.0000 0.0000 0.0000 [2 per cell]
Mn: 0.0000 0.0000 0.7206 [2 per cell]
Co: 0.0000 0.0000 0.2935 [2 per cell]

=====

Record 3
## SrMnCo (GGA-PBE)

Data for an optimized crystal structure of SrMnCo.

Values from the calculation:
calculated volume = 20.39 Å³/atom
energy above the most stable polymorph in this dataset = 247 meV/atom
final energy = -5.484 eV per atom
total magnetization = 0.5075 μB per atom
calculated formation energy = 0.50 eV/atom

Lattice parameters (Å, degrees): 3.7669 3.7669 9.9560 90.00 90.00 120.00
Space group P6_3/mmc (No. 194)
Symmetry-distinct sites (fractional):
Sr: 0.0000 0.0000 0.0000 [2 per cell]
Mn: 0.3333 0.6667 0.2500 [2 per cell]
Co: 0.3333 0.6667 0.7500 [2 per cell]